The following is a GGA-PBE calculation of crystalline Ba2NaSnF at its relaxed geometry, from the Alexandria database.

Structure (POSCAR):
```
Ba2NaSnF
1.0
5.617 0.000 0.000
0.000 5.617 0.000
0.000 0.000 4.944
Ba Na Sn F
2 1 1 1
Cartesian
0.000 2.808 0.000 Ba
2.808 0.000 0.000 Ba
0.000 0.000 2.472 Na
2.808 2.808 2.472 Sn
0.000 0.000 0.000 F
```

Computed properties:
Its symmetry is P4/mmm. As for the formation energy without anion corrections: -1.412 eV per atom. The total energy is -18.10 eV for the cell shown.

---

The following is a GGA-PBE calculation of crystalline BaNa2SnF at its relaxed geometry, from the Alexandria database.

Structure (POSCAR):
```
BaNa2SnF
1.0
5.114 0.000 0.000
0.000 5.114 0.000
0.000 0.000 5.334
Ba Na Sn F
1 2 1 1
Cartesian
0.000 0.000 0.000 Ba
0.000 2.557 2.667 Na
2.557 0.000 2.667 Na
2.557 2.557 0.000 Sn
0.000 0.000 2.667 F
```

Computed properties:
Its symmetry is P4/mmm. As for the formation energy without anion corrections: -1.259 eV per atom. The total energy is -16.73 eV for the cell shown.

---

The following is a GGA-PBE calculation of crystalline BaNaSr2F at its relaxed geometry, from the Alexandria database.

Structure (POSCAR):
```
BaNaSr2F
1.0
5.436 0.000 0.000
0.000 5.436 0.000
0.000 0.000 6.607
Ba Na Sr F
1 1 2 1
Cartesian
0.000 0.000 0.000 Ba
2.718 2.718 0.000 Na
0.000 2.718 3.304 Sr
2.718 0.000 3.304 Sr
0.000 0.000 3.304 F
```

Computed properties:
Its symmetry is P4/mmm. As for the formation energy without anion corrections: -0.990 eV per atom. The total energy is -13.43 eV for the cell shown.

---

The following is a GGA-PBE calculation of crystalline Ba2NaTbF8 at its relaxed geometry, from the Alexandria database.

Structure (POSCAR):
```
Ba2NaTbF8
1.0
-2.974 2.974 5.894
2.974 -2.974 5.894
2.974 2.974 -5.894
Ba Na Tb F
2 1 1 8
Cartesian
0.000 0.000 0.000 Ba
0.000 2.974 2.947 Ba
0.000 0.000 5.894 Na
2.974 0.000 2.947 Tb
1.369 1.649 -1.582 F
1.605 -1.325 4.312 F
1.649 1.369 1.582 F
4.299 1.369 1.582 F
1.369 4.299 -1.582 F
1.605 1.325 4.312 F
-1.325 1.605 7.475 F
1.325 1.605 7.475 F
```

Computed properties:
Its symmetry is I-4m2. As for the formation energy without anion corrections: -3.757 eV per atom. The total energy is -69.85 eV for the cell shown.

---

The following is a GGA-PBE calculation of crystalline BaNa2TlF at its relaxed geometry, from the Alexandria database.

Structure (POSCAR):
```
BaNa2TlF
1.0
5.184 0.000 0.000
0.000 5.184 0.000
0.000 0.000 5.406
Ba Na Tl F
1 2 1 1
Cartesian
0.000 0.000 0.000 Ba
0.000 2.592 2.703 Na
2.592 0.000 2.703 Na
2.592 2.592 0.000 Tl
0.000 0.000 2.703 F
```

Computed properties:
Its symmetry is P4/mmm. As for the formation energy without anion corrections: -1.138 eV per atom. The total energy is -14.49 eV for the cell shown.